The following is a PBE with a Hubbard U calculation of a relaxed NiAuNO2 crystal, from Alexandria via LeMat-Bulk.

Lattice parameters (Å, degrees): 3.857 3.857 3.762 90.00 90.00 90.00
Positions (direct):
Ni  0.000  0.000  0.000
Au  0.500  0.500  0.500
N  0.000  0.000  0.500
O  0.000  0.500  0.000
O  0.500  0.000  0.000

* total magnetic moment: 3.81 μB/f.u.
* DOS(E_F): 0.522 states/eV per atom
* DFT total energy: -19.59 eV/cell

---

The following is a PBE with a Hubbard U calculation of a relaxed NiAuNO2 crystal, from Alexandria via LeMat-Bulk.

Lattice parameters (Å, degrees): 4.234 4.234 3.757 90.00 90.00 90.00
Positions (direct):
Ni  0.000  0.000  0.000
Au  0.500  0.500  0.500
N  0.500  0.500  0.000
O  0.000  0.500  0.500
O  0.500  0.000  0.500

* total magnetic moment: 2.35 μB/f.u.
* DOS(E_F): 0.466 states/eV per atom
* DFT total energy: -17.71 eV/cell

---

The following is a PBE with a Hubbard U calculation of a relaxed NiAuN2O crystal, from Alexandria via LeMat-Bulk.

Lattice parameters (Å, degrees): 3.784 3.784 3.854 90.00 90.00 90.00
Positions (direct):
Ni  0.000  0.000  0.000
Au  0.500  0.500  0.500
N  0.000  0.500  0.000
N  0.500  0.000  0.000
O  0.000  0.000  0.500

* total magnetic moment: 3.46 μB/f.u.
* DOS(E_F): 0.635 states/eV per atom
* DFT total energy: -19.74 eV/cell

---

The following is a PBE with a Hubbard U calculation of a relaxed NiAuN2O crystal, from Alexandria via LeMat-Bulk.

Lattice parameters (Å, degrees): 3.972 3.972 4.404 90.00 90.00 90.00
Positions (direct):
Ni  0.000  0.000  0.000
Au  0.500  0.500  0.500
N  0.000  0.500  0.500
N  0.500  0.000  0.500
O  0.500  0.500  0.000

* total magnetic moment: 0.37 μB/f.u.
* DOS(E_F): 0.297 states/eV per atom
* DFT total energy: -17.88 eV/cell

---

Question: total magnetic moment of number 4 (NiAuN2O)?
Answer: 0.37 μB/f.u.